Tb2FeCuO6 (PBE with a Hubbard U, relaxed); E = -7.154 eV per atom; ρ = 7759 kg/m3
1.0
5.305 0.000 0.000
0.000 5.643 0.000
-5.244 0.000 7.624
Tb Fe Cu O
4 2 2 12
Cartesian
-0.090 0.405 1.903 Tb
-2.712 2.416 5.715 Tb
2.773 3.227 1.909 Tb
0.151 5.237 5.721 Tb
2.653 0.000 0.000 Fe
0.031 2.821 3.812 Fe
-2.622 0.000 3.812 Cu
0.000 2.821 0.000 Cu
-4.206 1.096 7.212 O
-1.584 1.725 3.400 O
-3.616 3.946 7.198 O
-0.994 4.518 3.386 O
-2.036 0.200 5.724 O
0.586 2.622 1.912 O
-0.525 3.021 5.712 O
2.097 5.443 1.900 O
1.055 1.125 4.238 O
3.677 1.696 0.426 O
1.645 3.918 4.224 O
4.268 4.546 0.412 O